Entry 1:
Density functional theory data (PBE-GGA) for Y3AlW after structural relaxation.

Values from the calculation:
SG: Pm-3m
Total magnetization (μB/f.u.): 0.00
Theoretical density (g cm⁻³): 5.11
Final energy (eV per atom): -6.56
Energy above the most stable polymorph in this dataset (kJ/mol of formula units): 0
Crystal system: cubic

Cell: 5.3726 5.3726 5.3726 Å, 90.00 90.00 90.00°
Sites, in units of the cell vectors:
Y (0.0000, 0.5000, 0.0000)
Y (0.0000, 0.0000, 0.5000)
Y (0.5000, 0.0000, 0.0000)
Al (0.5000, 0.5000, 0.5000)
W (0.0000, 0.0000, 0.0000)

---

Entry 2:
Density functional theory data (PBE-GGA) for YAl2W2 after structural relaxation.

Values from the calculation:
SG: P4/mbm
Total magnetization (μB/f.u.): 0.00
Theoretical density (g cm⁻³): 9.53
Final energy (eV per atom): -7.85
Crystal system: tetragonal

Cell: 7.2691 7.2691 3.3677 Å, 90.00 90.00 90.00°
Sites, in units of the cell vectors:
Y (0.0000, 0.0000, 0.0000)
Y (0.5000, 0.5000, 0.0000)
Al (0.3762, 0.8762, 0.0000)
Al (0.8762, 0.6238, 0.0000)
Al (0.6238, 0.1238, 0.0000)
Al (0.1238, 0.3762, 0.0000)
W (0.1680, 0.6680, 0.5000)
W (0.6680, 0.8320, 0.5000)
W (0.8320, 0.3320, 0.5000)
W (0.3320, 0.1680, 0.5000)

---

Entry 3:
Density functional theory data (PBE-GGA) for Y2ZrAlW after structural relaxation.

Values from the calculation:
SG: P4/mmm
Total magnetization (μB/f.u.): 1.25
Theoretical density (g cm⁻³): 5.72
Final energy (eV per atom): -6.81
Crystal system: tetragonal

Cell: 5.2827 4.9935 5.2827 Å, 90.00 90.00 90.00°
Last column: magnetic moment on the atom in μB.
Sites, in units of the cell vectors:
Y (0.0000, 0.0000, 0.5000)  0.06
Y (0.5000, 0.0000, 0.0000)  0.06
Zr (0.5000, 0.5000, 0.5000)  0.69
W (0.0000, 0.0000, 0.0000)  -0.04
Al (0.0000, 0.5000, 0.0000)  -0.01

---

Entry 4:
Density functional theory data (PBE-GGA) for Yb6Al43W4 after structural relaxation.

Values from the calculation:
SG: P6_3/mcm
Total magnetization (μB/f.u.): 0.00
Theoretical density (g cm⁻³): 5.22
Final energy (eV per atom): -4.45
Crystal system: hexagonal

Cell: 11.0445 11.0445 17.6586 Å, 90.00 90.00 120.00°
Sites, in units of the cell vectors:
Yb (0.4684, 0.4684, 0.9050)
Yb (0.5316, 0.0000, 0.9050)
Yb (0.0000, 0.5316, 0.9050)
Yb (0.5316, 0.5316, 0.0950)
Yb (0.4684, 0.0000, 0.0950)
Yb (0.0000, 0.4684, 0.0950)
Yb (0.5316, 0.5316, 0.4050)
Yb (0.4684, 0.0000, 0.4050)
Yb (0.0000, 0.4684, 0.4050)
Yb (0.4684, 0.4684, 0.5950)
Yb (0.5316, 0.0000, 0.5950)
Yb (0.0000, 0.5316, 0.5950)
Al (0.8425, 0.2366, 0.8363)
Al (0.7634, 0.6059, 0.8363)
Al (0.3941, 0.1575, 0.8363)
Al (0.2366, 0.8425, 0.8363)
Al (0.6059, 0.7634, 0.8363)
Al (0.1575, 0.3941, 0.8363)
Al (0.1575, 0.7634, 0.1637)
Al (0.2366, 0.3941, 0.1637)
Al (0.6059, 0.8425, 0.1637)
Al (0.7634, 0.1575, 0.1637)
Al (0.3941, 0.2366, 0.1637)
Al (0.8425, 0.6059, 0.1637)
Al (0.1575, 0.7634, 0.3363)
Al (0.2366, 0.3941, 0.3363)
Al (0.6059, 0.8425, 0.3363)
Al (0.7634, 0.1575, 0.3363)
Al (0.3941, 0.2366, 0.3363)
Al (0.8425, 0.6059, 0.3363)
Al (0.8425, 0.2366, 0.6637)
Al (0.7634, 0.6059, 0.6637)
Al (0.3941, 0.1575, 0.6637)
Al (0.2366, 0.8425, 0.6637)
Al (0.6059, 0.7634, 0.6637)
Al (0.1575, 0.3941, 0.6637)
Al (0.8401, 0.8401, 0.3857)
Al (0.1599, 0.0000, 0.3857)
Al (0.0000, 0.1599, 0.3857)
Al (0.1599, 0.1599, 0.6143)
Al (0.8401, 0.0000, 0.6143)
Al (0.0000, 0.8401, 0.6143)
Al (0.1599, 0.1599, 0.8857)
Al (0.8401, 0.0000, 0.8857)
Al (0.0000, 0.8401, 0.8857)
Al (0.8401, 0.8401, 0.1143)
Al (0.1599, 0.0000, 0.1143)
Al (0.0000, 0.1599, 0.1143)
Al (0.7461, 0.7461, 0.9689)
Al (0.2539, 0.0000, 0.9689)
Al (0.0000, 0.2539, 0.9689)
Al (0.2539, 0.2539, 0.0311)
Al (0.7461, 0.0000, 0.0311)
Al (0.0000, 0.7461, 0.0311)
Al (0.2539, 0.2539, 0.4689)
Al (0.7461, 0.0000, 0.4689)
Al (0.0000, 0.7461, 0.4689)
Al (0.7461, 0.7461, 0.5311)
Al (0.2539, 0.0000, 0.5311)
Al (0.0000, 0.2539, 0.5311)
Al (0.8525, 0.4491, 0.7500)
Al (0.5509, 0.4033, 0.7500)
Al (0.5967, 0.1475, 0.7500)
Al (0.4491, 0.8525, 0.7500)
Al (0.4033, 0.5509, 0.7500)
Al (0.1475, 0.5967, 0.7500)
Al (0.1475, 0.5509, 0.2500)
Al (0.4491, 0.5967, 0.2500)
Al (0.4033, 0.8525, 0.2500)
Al (0.5509, 0.1475, 0.2500)
Al (0.5967, 0.4491, 0.2500)
Al (0.8525, 0.4033, 0.2500)
Al (0.7534, 0.2466, 0.0000)
Al (0.7534, 0.5068, 0.0000)
Al (0.4932, 0.2466, 0.0000)
Al (0.2466, 0.7534, 0.0000)
Al (0.5068, 0.7534, 0.0000)
Al (0.2466, 0.4932, 0.0000)
Al (0.2466, 0.7534, 0.5000)
Al (0.2466, 0.4932, 0.5000)
Al (0.5068, 0.7534, 0.5000)
Al (0.7534, 0.2466, 0.5000)
Al (0.4932, 0.2466, 0.5000)
Al (0.7534, 0.5068, 0.5000)
Al (0.6667, 0.3333, 0.8745)
Al (0.3333, 0.6667, 0.8745)
Al (0.3333, 0.6667, 0.1255)
Al (0.6667, 0.3333, 0.1255)
Al (0.3333, 0.6667, 0.3745)
Al (0.6667, 0.3333, 0.3745)
Al (0.6667, 0.3333, 0.6255)
Al (0.3333, 0.6667, 0.6255)
Al (0.8522, 0.8522, 0.7500)
Al (0.1478, 0.0000, 0.7500)
Al (0.0000, 0.1478, 0.7500)
Al (0.1478, 0.1478, 0.2500)
Al (0.8522, 0.0000, 0.2500)
Al (0.0000, 0.8522, 0.2500)
W (0.2703, 0.2703, 0.7500)
W (0.7297, 0.0000, 0.7500)
W (0.0000, 0.7297, 0.7500)
W (0.7297, 0.7297, 0.2500)
W (0.2703, 0.0000, 0.2500)
W (0.0000, 0.2703, 0.2500)
W (0.0000, 0.0000, 0.0000)
W (0.0000, 0.0000, 0.5000)

---

Entry 5:
Density functional theory data (PBE-GGA) for Al2ZnW after structural relaxation.

Values from the calculation:
SG: Cmm2
Total magnetization (μB/f.u.): 0.00
Theoretical density (g cm⁻³): 8.06
Final energy (eV per atom): -5.31
Crystal system: orthorhombic

Cell: 2.7336 2.7337 8.3718 Å, 90.00 90.00 92.53°
Sites, in units of the cell vectors:
Zn (0.5000, 0.5000, 0.7504)
Al (0.0000, 0.0000, 0.9956)
Al (0.5000, 0.5000, 0.2544)
W (0.0000, 0.0000, 0.4995)

---

Entry 6:
Density functional theory data (PBE-GGA) for AlZn2W after structural relaxation.

Values from the calculation:
SG: P4/mmm
Total magnetization (μB/f.u.): 0.37
Theoretical density (g cm⁻³): 9.42
Final energy (eV per atom): -4.47
Crystal system: tetragonal

Cell: 3.2632 3.2632 5.6550 Å, 90.00 90.00 90.00°
Last column: magnetic moment on the atom in μB.
Sites, in units of the cell vectors:
Zn (0.0000, 0.0000, 0.0058)  0.02
Zn (0.0000, 0.0000, 0.4942)  0.02
Al (0.5000, 0.5000, 0.2500)  0.00
W (0.5000, 0.5000, 0.7500)  0.26

---

Entry 7:
Density functional theory data (PBE-GGA) for Al2ZnW after structural relaxation.

Values from the calculation:
SG: F-43m
Total magnetization (μB/f.u.): 0.00
Theoretical density (g cm⁻³): 8.20
Final energy (eV per atom): -5.04
Crystal system: cubic

Cell: 4.4286 4.4286 4.4286 Å, 60.00 60.00 60.00°
Sites, in units of the cell vectors:
Zn (0.2500, 0.2500, 0.2500)
Al (0.0000, 0.0000, 0.0000)
Al (0.7500, 0.7500, 0.7500)
W (0.5000, 0.5000, 0.5000)

---

Entry 8:
Density functional theory data (PBE-GGA) for AlZn2W after structural relaxation.

Values from the calculation:
SG: Pmm2
Total magnetization (μB/f.u.): 0.00
Theoretical density (g cm⁻³): 9.39
Final energy (eV per atom): -4.66
Crystal system: orthorhombic

Cell: 2.8277 3.8178 5.5979 Å, 90.00 90.00 90.00°
Sites, in units of the cell vectors:
Zn (0.0000, 0.0000, 0.0062)
Zn (0.5000, 0.5000, 0.2434)
Al (0.0000, 0.0000, 0.5073)
W (0.5000, 0.5000, 0.7431)